[1]
# Li3PrPb2 (PBE-GGA, optimized geometry)
data_Li3PrPb2
_chemical_formula_sum 'Li12 Pr4 Pb8'
_symmetry_space_group_name_H-M 'C 1 2/m 1'
_symmetry_Int_Tables_number 12
_cell_length_a 14.687
_cell_length_b 4.797
_cell_length_c 9.137
_cell_angle_alpha 90.00
_cell_angle_beta 117.64
_cell_angle_gamma 90.00
loop_
_symmetry_equiv_pos_as_xyz
'x,y,z'
'-x,-y,-z'
'-x,y,-z'
'x,-y,z'
'x+1/2,y+1/2,z'
'-x+1/2,-y+1/2,-z'
'-x+1/2,y+1/2,-z'
'x+1/2,-y+1/2,z'
loop_
_atom_site_label
_atom_site_fract_x
_atom_site_fract_y
_atom_site_fract_z
_atom_site_occupancy
Li1 0.053 0.000 0.381 1
Li2 0.095 0.500 0.679 1
Li3 0.220 0.500 0.536 1
Pr1 0.141 0.000 0.025 1
Pb1 0.046 0.500 0.196 1
Pb2 0.208 0.000 0.721 1
# crystal system: monoclinic
# E_form: -377.7 meV per atom

[2]
# Sr4InHg2 (PBE-GGA, optimized geometry)
data_Sr4InHg2
_chemical_formula_sum 'Sr12 In3 Hg6'
_symmetry_space_group_name_H-M 'R -3 m'
_symmetry_Int_Tables_number 166
_symmetry_space_group_name_Hall '-R 3 2"'
_cell_length_a 5.6765
_cell_length_b 5.6765
_cell_length_c 27.8464
_cell_angle_alpha 90.00
_cell_angle_beta 90.00
_cell_angle_gamma 120.00
loop_
_atom_site_label
_atom_site_fract_x
_atom_site_fract_y
_atom_site_fract_z
_atom_site_occupancy
Sr1 0.0000 0.0000 0.1242 1
Sr2 0.0000 0.0000 0.3752 1
In1 0.0000 0.0000 0.5000 1
Hg1 0.0000 0.0000 0.2500 1
# crystal system: trigonal
# E_form: -416.3 meV per atom

[3]
# NdGe2IrRh2 (PBE-GGA, optimized geometry)
data_NdGe2IrRh2
_chemical_formula_sum 'Nd1 Ge2 Ir1 Rh2'
_symmetry_space_group_name_H-M 'P 4/m m m'
_symmetry_Int_Tables_number 123
_symmetry_space_group_name_Hall '-P 4 2'
_cell_length_a 4.657
_cell_length_b 4.657
_cell_length_c 5.610
_cell_angle_alpha 90.00
_cell_angle_beta 90.00
_cell_angle_gamma 90.00
loop_
_atom_site_label
_atom_site_fract_x
_atom_site_fract_y
_atom_site_fract_z
_atom_site_occupancy
Nd1 0.000 0.000 0.000 1
Ge1 0.000 0.500 0.500 1
Ir1 0.000 0.000 0.500 1
Rh1 0.500 0.500 0.248 1
# crystal system: tetragonal
# E_form: -180.7 meV per atom

[4]
# LiHoZrRe (PBE-GGA, optimized geometry)
data_LiHoZrRe
_chemical_formula_sum 'Li4 Ho4 Zr4 Re4'
_symmetry_space_group_name_H-M 'F -4 3 m'
_symmetry_Int_Tables_number 216
_symmetry_space_group_name_Hall 'F -4 2 3'
_cell_length_a 6.766
_cell_length_b 6.766
_cell_length_c 6.766
_cell_angle_alpha 90.00
_cell_angle_beta 90.00
_cell_angle_gamma 90.00
loop_
_atom_site_label
_atom_site_fract_x
_atom_site_fract_y
_atom_site_fract_z
_atom_site_occupancy
Li1 0.000 0.000 0.000 1
Ho1 0.250 0.250 0.250 1
Zr1 0.250 0.250 0.750 1
Re1 0.000 0.000 0.500 1
# crystal system: cubic
# E_form: -40.7 meV per atom

[5]
# CsInBiTe3 (PBE-GGA, optimized geometry)
data_CsInBiTe3
_chemical_formula_sum 'Cs2 In2 Bi2 Te6'
_symmetry_space_group_name_H-M 'P 1 21/m 1'
_symmetry_Int_Tables_number 11
_cell_length_a 9.823
_cell_length_b 5.103
_cell_length_c 11.148
_cell_angle_alpha 90.00
_cell_angle_beta 107.97
_cell_angle_gamma 90.00
loop_
_symmetry_equiv_pos_as_xyz
'x,y,z'
'-x,-y,-z'
'-x,y+1/2,-z'
'x,-y+1/2,z'
loop_
_atom_site_label
_atom_site_fract_x
_atom_site_fract_y
_atom_site_fract_z
_atom_site_occupancy
Cs1 0.214 0.250 0.243 1
In1 0.104 0.250 0.609 1
Bi1 0.331 0.750 0.877 1
Te1 0.119 0.250 0.870 1
Te2 0.210 0.750 0.544 1
Te3 0.474 0.750 0.155 1
# raw formation energy: -2.86 eV per formula unit
# crystal system: monoclinic

[6]
# Zn3IF (PBE-GGA, optimized geometry)
data_Zn3IF
_chemical_formula_sum 'Zn3 I1 F1'
_symmetry_space_group_name_H-M 'P m -3 m'
_symmetry_Int_Tables_number 221
_symmetry_space_group_name_Hall '-P 4 2 3'
_cell_length_a 4.792
_cell_length_b 4.792
_cell_length_c 4.792
_cell_angle_alpha 90.00
_cell_angle_beta 90.00
_cell_angle_gamma 90.00
loop_
_atom_site_label
_atom_site_fract_x
_atom_site_fract_y
_atom_site_fract_z
_atom_site_occupancy
Zn1 0.000 0.000 0.500 1
I1 0.500 0.500 0.500 1
F1 0.000 0.000 0.000 1
# raw formation energy: -0.54 eV per formula unit
# crystal system: cubic
# offset from the most stable computed form: 0.00 eV/f.u.

Number 1: DOS at the Fermi energy 10.57 states/eV/cell. Number 2: DOS at the Fermi energy 13.83 states/eV/cell. Number 3: DOS at the Fermi energy 4.97 states/eV/cell. Number 4: DOS at the Fermi energy 9.35 states/eV/cell. Number 5: DOS at the Fermi energy 4.01 states/eV/cell. Number 6: DOS at the Fermi energy 3.61 states/eV/cell.